Below is an optimized crystal structure of Na4CdCl5, with properties calculated at the PBE level.

abc: 9.2580 9.2580 5.6263
angles: 90.00 90.00 90.00
Closest atoms and distances in Å follow each position.
Space group I4 (No. 79)
Unique sites:
1 Na 0.1073 0.3045 0.0000 [8 per cell]  6 Cl 2.81-2.99
2 Cd 0.0000 0.0000 0.4989 [2 per cell]  6 Cl 2.81-3.09
3 Cl 0.0000 0.0000 0.9987 [2 per cell]  2 Cd 2.81, 4 Na 2.99
4 Cl 0.1097 0.3147 0.5001 [8 per cell]  5 Na 2.81-2.92, 1 Cd 3.09

Results
Magnetic moment (μB per atom): 0.000
Energy relative to the elements, uncorrected (eV per atom): -1.52
Volume (Å³ per cell): 482.2

=====

Below is an optimized crystal structure of Na3CdCl4, with properties calculated at the PBE level.

abc: 9.8193 8.5286 5.6288
angles: 90.00 90.00 90.00
Closest atoms and distances in Å follow each position.
Space group Pmn2_1 (No. 31)
Unique sites:
1 Na 0.0000 0.1715 0.9999 [2 per cell]  5 Cl 2.75-2.86
2 Na 0.2498 0.3353 0.5000 [4 per cell]  5 Cl 2.76-2.86
3 Cd 0.0000 0.8355 0.4988 [2 per cell]  5 Cl 2.81-2.97
4 Cl 0.0000 0.1842 0.4999 [2 per cell]  4 Na 2.77-2.82, 1 Cd 2.97
5 Cl 0.0000 0.8366 0.9989 [2 per cell]  2 Cd 2.81, 3 Na 2.86
6 Cl 0.2388 0.3408 0.0000 [4 per cell]  4 Na 2.75-2.82, 1 Cd 2.97

Results
Magnetic moment (μB per atom): 0.000
Energy relative to the elements, uncorrected (eV per atom): -1.42
Volume (Å³ per cell): 471.4

=====

Below is an optimized crystal structure of NaCdCl, with properties calculated at the PBE level.

abc: 13.9716 5.4007 5.4107
angles: 90.00 90.00 90.00
Closest atoms and distances in Å follow each position.
Space group Amm2 (No. 38)
Unique sites:
1 Na 0.2500 0.0000 0.0000 [4 per cell]  4 Cl 2.70-2.71
2 Cd 0.0000 0.0000 0.2508 [2 per cell]  2 Cl 3.74, 2 Na 3.75, 4 Cd 3.82
3 Cd 0.5000 0.0000 0.7361 [2 per cell]  2 Cl 3.72, 2 Na 3.77, 4 Cd 3.82
4 Cl 0.2497 0.0000 0.5004 [4 per cell]  4 Na 2.70-2.71

Results
Magnetic moment (μB per atom): 0.000
Energy relative to the elements, uncorrected (eV per atom): -0.91
Volume (Å³ per cell): 408.3

=====

Below is an optimized crystal structure of Na2CdCl4, with properties calculated at the PBE level.

abc: 5.2679 5.2679 14.2204
angles: 90.00 90.00 90.00
Closest atoms and distances in Å follow each position.
Space group I4/mmm (No. 139)
Unique sites:
1 Na 0.0000 0.0000 0.1345 [4 per cell]  1 Cl 2.64
2 Cd 0.0000 0.0000 0.5000 [2 per cell]  6 Cl 2.56-2.63
3 Cl 0.0000 0.0000 0.3199 [4 per cell]  1 Cd 2.56, 1 Na 2.64
4 Cl 0.0000 0.5000 0.0000 [4 per cell]  2 Cd 2.63

Results
Magnetic moment (μB per atom): 0.000
Energy relative to the elements, uncorrected (eV per atom): -1.37
Volume (Å³ per cell): 394.6
Relative energy among the computed polymorphs (meV/atom): 126.5

=====

Below is an optimized crystal structure of NaCd3Cl, with properties calculated at the PBE level.

abc: 5.8247 5.8247 5.8247
angles: 90.00 90.00 90.00
Closest atoms and distances in Å follow each position.
Space group Pm-3m (No. 221)
Unique sites:
1 Na 0.0000 0.0000 0.0000 [1 per cell]  12 Cd 4.12
2 Cd 0.0000 0.5000 0.5000 [3 per cell]  2 Cl 2.91
3 Cl 0.5000 0.5000 0.5000 [1 per cell]  6 Cd 2.91

Results
Magnetic moment (μB per atom): 0.000
Energy relative to the elements, uncorrected (eV per atom): 0.13
Volume (Å³ per cell): 197.6
Relative energy among the computed polymorphs (meV/atom): 17.0

=====

Below is an optimized crystal structure of NaCdCl4, with properties calculated at the PBE level.

abc: 5.4088 5.4088 12.2288
angles: 90.00 90.00 90.00
Closest atoms and distances in Å follow each position.
Space group I-4m2 (No. 119)
Unique sites:
1 Na 0.0000 0.0000 0.0000 [2 per cell]  6 Cl 2.76-2.91
2 Cd 0.0000 0.5000 0.7500 [2 per cell]  6 Cl 2.50-2.71
3 Cl 0.0000 0.0000 0.2380 [4 per cell]  2 Cd 2.71, 1 Na 2.91
4 Cl 0.0000 0.5000 0.5458 [4 per cell]  1 Cd 2.50, 2 Na 2.76

Results
Magnetic moment (μB per atom): 0.181
Energy relative to the elements, uncorrected (eV per atom): -0.94
Volume (Å³ per cell): 357.8

=====

Below is an optimized crystal structure of Na2CdCl4, with properties calculated at the PBE level.

abc: 14.0189 4.0307 7.1098
angles: 90.00 118.18 90.00
Closest atoms and distances in Å follow each position.
Space group C2/m (No. 12)
Unique sites:
1 Na 0.2093 0.0000 0.1948 [4 per cell]  6 Cl 2.73-3.03
2 Cd 0.0000 0.5000 0.5000 [2 per cell]  6 Cl 2.57-2.76
3 Cl 0.1141 0.5000 0.9077 [4 per cell]  1 Cd 2.57, 2 Na 2.73
4 Cl 0.1332 0.0000 0.4949 [4 per cell]  2 Cd 2.76, 3 Na 2.80-3.03

Results
Magnetic moment (μB per atom): 0.000
Energy relative to the elements, uncorrected (eV per atom): -1.47
Volume (Å³ per cell): 354.1
Relative energy among the computed polymorphs (meV/atom): 25.2

=====

Below is an optimized crystal structure of NaCd4Cl8, with properties calculated at the PBE level.

abc: 11.4769 11.4769 11.4769
angles: 90.00 90.00 90.00
Closest atoms and distances in Å follow each position.
Space group F-43m (No. 216)
Unique sites:
1 Na 0.0000 0.0000 0.0000 [4 per cell]  4 Cl 2.74
2 Cd 0.1213 0.1213 0.6213 [16 per cell]  6 Cl 2.71-2.78
3 Cl 0.1144 0.1144 0.3856 [16 per cell]  3 Cd 2.71
4 Cl 0.1377 0.1377 0.8623 [16 per cell]  1 Na 2.74, 3 Cd 2.78

Results
Magnetic moment (μB per atom): 0.000
Energy relative to the elements, uncorrected (eV per atom): -1.06
Volume (Å³ per cell): 1511.7

=====

Below is an optimized crystal structure of NaCd2Cl5, with properties calculated at the PBE level.

abc: 5.2837 13.1664 13.1309
angles: 90.00 90.00 90.00
Closest atoms and distances in Å follow each position.
Space group Cmcm (No. 63)
Unique sites:
1 Na 0.0000 0.2147 0.2500 [4 per cell]  6 Cl 2.76-2.92
2 Cd 0.0000 0.1359 0.5585 [8 per cell]  6 Cl 2.58-2.80
3 Cl 0.0000 0.0504 0.1197 [8 per cell]  2 Cd 2.58-2.60, 1 Na 2.76
4 Cl 0.0000 0.2137 0.7500 [4 per cell]  2 Cd 2.72, 2 Na 2.80
5 Cl 0.0000 0.3173 0.0530 [8 per cell]  3 Cd 2.71-2.80, 1 Na 2.92

Results
Magnetic moment (μB per atom): 0.000
Energy relative to the elements, uncorrected (eV per atom): -1.23
Volume (Å³ per cell): 913.5
Relative energy among the computed polymorphs (meV/atom): 0.0

=====

Below is an optimized crystal structure of Na2CdCl5, with properties calculated at the PBE level.

abc: 5.5123 14.1336 11.4770
angles: 90.00 90.00 90.00
Closest atoms and distances in Å follow each position.
Space group Cmcm (No. 63)
Unique sites:
1 Na 0.0000 0.1727 0.0805 [8 per cell]  5 Cl 2.71-2.78
2 Cd 0.0000 0.1816 0.7500 [4 per cell]  6 Cl 2.55-2.76
3 Cl 0.0000 0.0210 0.6198 [8 per cell]  1 Cd 2.72, 1 Na 2.78, 2 Cl 2.81-2.99
4 Cl 0.0000 0.3061 0.5894 [8 per cell]  1 Cd 2.55, 3 Na 2.71-2.77
5 Cl 0.0000 0.3112 0.2500 [4 per cell]  2 Cd 2.76, 2 Na 2.76

Results
Magnetic moment (μB per atom): 0.000
Energy relative to the elements, uncorrected (eV per atom): -1.20
Volume (Å³ per cell): 894.2

=====

Below is an optimized crystal structure of Na4CdCl2, with properties calculated at the PBE level.

abc: 5.8018 5.8018 14.8359
angles: 90.00 90.00 90.00
Closest atoms and distances in Å follow each position.
Space group I4/mmm (No. 139)
Unique sites:
1 Na 0.0000 0.0000 0.2104 [4 per cell]  1 Cl 2.58
2 Na 0.0000 0.5000 0.0000 [4 per cell]  2 Cd 2.90
3 Cd 0.0000 0.0000 0.0000 [2 per cell]  6 Na 2.90-3.12
4 Cl 0.0000 0.0000 0.3839 [4 per cell]  1 Na 2.58

Results
Magnetic moment (μB per atom): 0.078
Energy relative to the elements, uncorrected (eV per atom): -0.61
Volume (Å³ per cell): 499.4

=====

Below is an optimized crystal structure of NaCd2Cl5, with properties calculated at the PBE level.

abc: 12.8344 7.1197 6.9145
angles: 90.00 120.70 90.00
Closest atoms and distances in Å follow each position.
Space group Cm (No. 8)
Unique sites:
1 Na 0.0000 0.0000 0.0000 [2 per cell]  5 Cl 2.66-2.83
2 Cd 0.3626 0.0000 0.8215 [2 per cell]  5 Cl 2.56-2.65
3 Cd 0.4460 0.5000 0.4167 [2 per cell]  5 Cl 2.58-2.66
4 Cl 0.1577 0.0000 0.4545 [2 per cell]  2 Cd 2.56-2.59, 1 Na 2.73
5 Cl 0.3522 0.2557 0.0792 [4 per cell]  2 Cd 2.60-2.66, 1 Na 2.83
6 Cl 0.4779 0.2415 0.7034 [4 per cell]  2 Cd 2.58-2.65, 1 Na 2.66

Results
Magnetic moment (μB per atom): 0.000
Energy relative to the elements, uncorrected (eV per atom): -1.15
Volume (Å³ per cell): 543.3
Relative energy among the computed polymorphs (meV/atom): 77.8